[1]
Density functional theory data (PBE-GGA) for a geometry-optimized HfSc2CSe structure.

Values from the calculation:
Energy relative to the elements, uncorrected (eV/atom): 0.18
N(E_F) (states/eV per cell): 5.24
Symmetry: P4/mmm

Cell lengths 4.319, 5.228, 4.319 Å; angles 90.00, 90.00, 90.00 degrees
Last column: magnetic moment on the atom in μB.
Atoms (fractional coordinates):
1 Se 0.000 0.500 0.000  -0.02
2 Sc 0.500 0.000 0.000  0.21
3 Sc 0.000 0.000 0.500  0.21
4 C 0.000 0.000 0.000  -0.01
5 Hf 0.500 0.500 0.500  0.49

[2]
Density functional theory data (PBE-GGA) for a geometry-optimized HfSc2SiC structure.

Values from the calculation:
Energy relative to the elements, uncorrected (eV/atom): -0.59
N(E_F) (states/eV per cell): 2.11
Symmetry: P4/mmm

Cell lengths 4.403, 4.403, 4.437 Å; angles 90.00, 90.00, 90.00 degrees
Atoms (fractional coordinates):
1 Sc 0.500 0.000 0.000
2 Sc 0.000 0.500 0.000
3 C 0.000 0.000 0.000
4 Hf 0.000 0.000 0.500
5 Si 0.500 0.500 0.500

[3]
Density functional theory data (PBE-GGA) for a geometry-optimized Hf2Sc2Sn2C structure.

Values from the calculation:
Formation energy (eV/atom): -0.64
N(E_F) (states/eV per cell): 6.13
Symmetry: I4/mmm

Cell lengths 4.449, 4.449, 8.171 Å; angles 105.80, 105.80, 90.00 degrees
Atoms (fractional coordinates):
1 Sc 0.846 0.846 0.691
2 Sc 0.154 0.154 0.309
3 Sn 0.644 0.644 0.288
4 Sn 0.356 0.356 0.712
5 Hf 0.000 0.500 0.000
6 Hf 0.500 0.000 0.000
7 C 0.000 0.000 0.000

Number 3 is which compound? Hf2Sc2Sn2C